Density functional theory data (PBE-GGA) for crystalline CaCrIn2 at its relaxed geometry.

```
data_CaCrIn2
_symmetry_space_group_name_H-M 'F -4 3 m'
_symmetry_Int_Tables_number 216
_symmetry_space_group_name_Hall 'F -4 2 3'
_cell_length_a 7.304
_cell_length_b 7.304
_cell_length_c 7.304
_cell_angle_alpha 90.00
_cell_angle_beta 90.00
_cell_angle_gamma 90.00
loop_
_atom_site_label
_atom_site_fract_x
_atom_site_fract_y
_atom_site_fract_z
Ca1 0.000 0.000 0.000
Cr1 0.250 0.250 0.750
In1 0.000 0.000 0.500
In2 0.250 0.250 0.250
```

Values from the calculation:
- energy of formation (eV/atom) = 0.1411
- crystal system = cubic